The following is a PBE calculation of an optimized crystal structure of KBiPt2S, from Alexandria via LeMat-Bulk.

Cell lengths 5.1739, 5.5161, 5.1739 Å; angles 90.00, 90.00, 90.00 degrees
Positions (direct):
S 0.0000 0.5000 0.0000
Pt 0.5000 0.0000 0.0000
Pt 0.0000 0.0000 0.5000
Bi 0.0000 0.0000 0.0000
K 0.5000 0.5000 0.5000

Formation energy (no corrections) = 0.3417 eV/atom
Total DFT energy (no corrections) = -3.896 eV per atom

***

The following is a PBE calculation of an optimized crystal structure of TlSb2Pb2, from Alexandria via LeMat-Bulk.

Cell lengths 4.7064, 4.7064, 8.3957 Å; angles 73.72, 73.72, 90.00 degrees
Positions (direct):
Tl 0.0000 0.0000 0.0000
Pb 0.6077 0.6077 0.7847
Pb 0.3923 0.3923 0.2153
Sb 0.2500 0.7500 0.5000
Sb 0.7500 0.2500 0.5000

Formation energy (no corrections) = 0.1386 eV/atom
Total DFT energy (no corrections) = -3.467 eV per atom

***

The following is a PBE calculation of an optimized crystal structure of CaTbSb2, from Alexandria via LeMat-Bulk.

Cell lengths 4.6137, 4.6137, 7.5182 Å; angles 72.13, 72.13, 60.00 degrees
Positions (direct):
Sb 0.0873 0.0873 0.7380
Ca 0.6699 0.6699 0.9904
Sb 0.2468 0.2468 0.2595
Tb 0.4960 0.4960 0.5121

Formation energy (no corrections) = -0.8537 eV/atom
Total DFT energy (no corrections) = -4.573 eV per atom

***

The following is a PBE calculation of an optimized crystal structure of Li2Sn2Ru, from Alexandria via LeMat-Bulk.

Cell lengths 7.1288, 7.1288, 3.5647 Å; angles 90.00, 90.00, 90.00 degrees
Positions (direct):
Li 0.3467 0.1533 0.5000
Li 0.6533 0.8467 0.5000
Li 0.8467 0.3467 0.5000
Ru 0.0000 0.0000 0.0000
Sn 0.8465 0.6535 0.0000
Sn 0.3465 0.8465 0.0000
Sn 0.1535 0.3465 0.0000
Ru 0.5000 0.5000 0.0000
Sn 0.6535 0.1535 0.0000
Li 0.1533 0.6533 0.5000

Energy of formation = -0.0559 eV/atom
Total DFT energy (no corrections) = -4.278 eV per atom

***

The following is a PBE calculation of an optimized crystal structure of CePm6Ho5, from Alexandria via LeMat-Bulk.

Cell lengths 5.0903, 10.1255, 9.4903 Å; angles 122.24, 105.56, 90.00 degrees
Last column: magnetic moment on the atom in μB.
Positions (direct):
Ce 0.0000 0.0000 0.0000  0.78
Pm 0.8349 0.0848 0.6698  0.01
Ho 0.3321 0.3321 0.6643  -0.02
Pm 0.1651 0.4151 0.3302  0.01
Ho 0.0000 0.5000 0.0000  0.00
Ho 0.6658 0.1658 0.3317  0.03
Pm 0.8349 0.5849 0.6698  0.01
Pm 0.1651 0.9152 0.3302  0.01
Pm 0.5000 0.2488 0.0000  0.02
Pm 0.5000 0.7512 0.0000  0.02
Ho 0.3342 0.8342 0.6683  0.03
Ho 0.6679 0.6679 0.3357  -0.02

Energy of formation = 0.0369 eV/atom
Total DFT energy (no corrections) = -4.740 eV per atom

***

The following is a PBE calculation of an optimized crystal structure of RbCd2As2, from Alexandria via LeMat-Bulk.

Cell lengths 8.7387, 8.7387, 3.2752 Å; angles 90.00, 90.00, 90.00 degrees
Positions (direct):
Rb 0.5000 0.5000 0.0000
As 0.6676 0.8324 0.5000
Rb 0.0000 0.0000 0.0000
Cd 0.8743 0.6257 0.0000
As 0.8324 0.3324 0.5000
Cd 0.3743 0.8743 0.0000
Cd 0.6257 0.1257 0.0000
Cd 0.1257 0.3743 0.0000
As 0.3324 0.1676 0.5000
As 0.1676 0.6676 0.5000

Energy of formation = -0.0285 eV/atom
Total DFT energy (no corrections) = -2.448 eV per atom

***

The following is a PBE calculation of an optimized crystal structure of NaAsPtSe2, from Alexandria via LeMat-Bulk.

Cell lengths 5.3095, 5.3095, 4.6529 Å; angles 90.00, 90.00, 90.00 degrees
Positions (direct):
Pt 0.0000 0.0000 0.0000
Se 0.0000 0.5000 0.0000
Se 0.5000 0.0000 0.0000
As 0.0000 0.0000 0.5000
Na 0.5000 0.5000 0.5000

Formation energy (no corrections) = 0.0181 eV/atom
Total DFT energy (no corrections) = -3.778 eV per atom

***

The following is a PBE calculation of an optimized crystal structure of BaMg6Zn2, from Alexandria via LeMat-Bulk.

Cell lengths 4.6671, 4.6671, 10.2649 Å; angles 90.00, 90.00, 90.00 degrees
Positions (direct):
Mg 0.5000 0.0000 0.2924
Mg 0.5000 0.0000 0.7076
Ba 0.0000 0.0000 0.0000
Mg 0.0000 0.5000 0.2924
Mg 0.0000 0.0000 0.5000
Zn 0.5000 0.5000 0.8677
Mg 0.5000 0.5000 0.5000
Mg 0.0000 0.5000 0.7076
Zn 0.5000 0.5000 0.1323

Energy of formation = -0.1007 eV/atom
Total DFT energy (no corrections) = -1.661 eV per atom

***

Repeat the first record exactly.
The following is a PBE calculation of an optimized crystal structure of KBiPt2S, from Alexandria via LeMat-Bulk.

Cell lengths 5.1739, 5.5161, 5.1739 Å; angles 90.00, 90.00, 90.00 degrees
Positions (direct):
S 0.0000 0.5000 0.0000
Pt 0.5000 0.0000 0.0000
Pt 0.0000 0.0000 0.5000
Bi 0.0000 0.0000 0.0000
K 0.5000 0.5000 0.5000

Formation energy (no corrections) = 0.3417 eV/atom
Total DFT energy (no corrections) = -3.896 eV per atom